# 1
Entry from the Alexandria database: NdSm3Sb3 after structural relaxation (GGA-PBE).

Cell lengths 8.1682, 8.1682, 8.1576 Å; angles 70.53, 70.53, 109.52 degrees
Element x y z (fractional)
Sb 0.8784 0.6251 0.7491
Sm 0.5001 0.1429 0.9991
Nd 0.6417 0.5006 0.4997
Sm 0.1429 0.5001 0.4991
Sb 0.6251 0.8784 0.2491
Sm 0.8580 0.3591 0.1425
Sb 0.2460 0.3725 0.8765
Sm 0.9994 0.9988 0.8587
Nd 0.5006 0.6417 0.9997
Sb 0.1259 0.7515 0.1244
Sm 0.3591 0.8580 0.6425
Sb 0.7515 0.1259 0.6244
Sb 0.3725 0.2460 0.3765
Sm 0.9988 0.9994 0.3587

Properties
Relative energy among the computed polymorphs = 0.001 eV/f.u.
Total moment = 0.000 μB per formula unit
E_form (uncorrected) = -1.051 eV per atom

---

# 2
Entry from the Alexandria database: NdSm8Sb6 after structural relaxation (GGA-PBE).

Cell lengths 4.4801, 11.6048, 11.6048 Å; angles 120.00, 90.00, 90.00 degrees
Each line ends with the local moment (μB).
Element x y z (fractional)
Sb 0.2560 0.4814 0.3482  0.00
Sm 0.2442 0.3333 0.6667  0.01
Sm 0.7568 0.6588 0.9600  0.12
Sm 0.7568 0.0400 0.6987  0.12
Nd 0.5000 0.0000 0.0000  0.56
Sb 0.2560 0.6518 0.1332  0.00
Sm 0.2432 0.6987 0.6588  0.12
Sm 0.2432 0.9600 0.3013  0.12
Sb 0.7440 0.1332 0.4814  0.00
Sb 0.2560 0.8668 0.5186  0.00
Sb 0.7440 0.5186 0.6518  0.00
Sm 0.7558 0.6667 0.3333  0.01
Sm 0.7568 0.3013 0.3412  0.12
Sm 0.2432 0.3412 0.0400  0.12
Sb 0.7440 0.3482 0.8668  0.00

Properties
Total moment = 3.500 μB per formula unit
E_form (uncorrected) = -0.659 eV per atom

---

# 3
Entry from the Alexandria database: NdSmSb after structural relaxation (GGA-PBE).

Cell lengths 5.7868, 5.8202, 6.4723 Å; angles 105.15, 90.00, 119.81 degrees
Element x y z (fractional)
Nd 0.5478 0.0957 0.7805
Nd 0.4522 0.9043 0.2195
Sm 0.1418 0.2835 0.2577
Sb 0.2008 0.4016 0.7678
Sb 0.7992 0.5984 0.2322
Sm 0.8582 0.7165 0.7423

Properties
Total moment = 0.000 μB per formula unit
E_form (uncorrected) = -0.580 eV per atom

---

# 4
Entry from the Alexandria database: Nd3SmSb4 after structural relaxation (GGA-PBE).

Cell lengths 4.5134, 7.8133, 7.8133 Å; angles 109.47, 90.00, 90.00 degrees
Element x y z (fractional)
Sb 0.0000 0.2478 0.2478
Sb 0.5000 0.7511 0.2489
Nd 0.0000 0.5000 0.0000
Sb 0.0000 0.7522 0.7522
Sm 0.5000 0.0000 0.0000
Nd 0.0000 0.0000 0.5000
Sb 0.5000 0.2489 0.7511
Nd 0.5000 0.5000 0.5000

Properties
Relative energy among the computed polymorphs = 0.038 eV/f.u.
Total moment = 0.000 μB per formula unit
E_form (uncorrected) = -1.186 eV per atom

---

# 5
Entry from the Alexandria database: Nd2SmSb after structural relaxation (GGA-PBE).

Cell lengths 4.6450, 4.6342, 12.0128 Å; angles 90.00, 101.13, 90.00 degrees
Element x y z (fractional)
Nd 0.5680 0.2500 0.1361
Sm 0.3048 0.2500 0.6091
Nd 0.9387 0.2500 0.8774
Sm 0.6952 0.7500 0.3909
Sb 0.8299 0.7500 0.6596
Nd 0.4320 0.7500 0.8639
Sb 0.1701 0.2500 0.3404
Nd 0.0613 0.7500 0.1226

Properties
Relative energy among the computed polymorphs = 0.000 eV/f.u.
Total moment = 0.000 μB per formula unit
E_form (uncorrected) = -0.560 eV per atom

---

# 6
Entry from the Alexandria database: NdSm5Sb5 after structural relaxation (GGA-PBE).

Cell lengths 6.2917, 7.6757, 8.8777 Å; angles 106.72, 90.00, 114.19 degrees
Element x y z (fractional)
Sm 0.3335 0.6670 0.1660
Sb 0.1676 0.3352 0.3372
Sm 0.6665 0.3330 0.8340
Sb 0.8309 0.6618 0.1691
Sb 0.8324 0.6648 0.6628
Sm 0.0000 0.0000 0.5000
Sb 0.1691 0.3382 0.8309
Nd 0.0000 0.0000 0.0000
Sb 0.5000 0.0000 0.0000
Sm 0.3335 0.6669 0.6668
Sm 0.6665 0.3331 0.3332

Properties
Total moment = 0.000 μB per formula unit
E_form (uncorrected) = -0.991 eV per atom

---

# 7
Entry from the Alexandria database: Nd2Sm3Sb3 after structural relaxation (GGA-PBE).

Cell lengths 6.4697, 9.2753, 9.2753 Å; angles 120.00, 90.00, 90.00 degrees
Each line ends with the local moment (μB).
Element x y z (fractional)
Sb 0.7500 0.3849 0.3849  0.00
Sb 0.7500 0.0000 0.6152  0.00
Sm 0.2500 0.7510 0.0000  0.02
Sm 0.7500 0.0000 0.2490  0.02
Sm 0.7500 0.2490 0.0000  0.02
Sb 0.7500 0.6152 0.0000  0.00
Nd 0.0000 0.6667 0.3333  0.13
Sb 0.2500 0.3849 0.0000  0.00
Sm 0.2500 0.2490 0.2490  0.02
Sm 0.2500 0.0000 0.7510  0.02
Nd 0.5000 0.3333 0.6667  0.13
Sm 0.7500 0.7510 0.7510  0.02
Sb 0.2500 0.0000 0.3849  0.00
Sb 0.2500 0.6152 0.6152  0.00
Nd 0.5000 0.6667 0.3333  0.13
Nd 0.0000 0.3333 0.6667  0.13

Properties
Total moment = 0.557 μB per formula unit
E_form (uncorrected) = -0.961 eV per atom

---

# 8
Entry from the Alexandria database: NdSmSb after structural relaxation (GGA-PBE).

Cell lengths 4.2062, 5.1423, 5.1423 Å; angles 120.00, 90.00, 90.00 degrees
Element x y z (fractional)
Sm 0.0906 0.0000 0.0000
Sb 0.2926 0.3333 0.6667
Nd 0.6168 0.6667 0.3333

Properties
Total moment = 0.000 μB per formula unit
E_form (uncorrected) = -0.453 eV per atom